Below is crystalline RbHf3Be at its relaxed geometry, with properties calculated at the PBE-GGA level.

Computed properties:
Space-group type: Pm-3m, No. 221
Calculated total energy (eV/f.u.): -29.39
Total magnetic moment (μB/atom): 0.00

a = 4.949 Å, b = 4.949 Å, c = 4.949 Å
α = 90.00°, β = 90.00°, γ = 90.00°
Fractional positions:
Be 0.000 0.000 0.000
Hf 0.000 0.500 0.000
Hf 0.000 0.000 0.500
Hf 0.500 0.000 0.000
Rb 0.500 0.500 0.500

***

Below is crystalline RbHfBe3 at its relaxed geometry, with properties calculated at the PBE-GGA level.

Computed properties:
Space-group type: Pm-3m, No. 221
Calculated total energy (eV/f.u.): -10.56
Total magnetic moment (μB/atom): 0.00

a = 4.580 Å, b = 4.580 Å, c = 4.580 Å
α = 90.00°, β = 90.00°, γ = 90.00°
Fractional positions:
Be 0.000 0.500 0.000
Be 0.000 0.000 0.500
Be 0.500 0.000 0.000
Hf 0.500 0.500 0.500
Rb 0.000 0.000 0.000

***

Below is crystalline RbHfBe2 at its relaxed geometry, with properties calculated at the PBE-GGA level.

Computed properties:
Space-group type: Fm-3m, No. 225
Calculated total energy (eV/f.u.): -13.09
Total magnetic moment (μB/atom): 0.00

a = 4.907 Å, b = 4.907 Å, c = 4.907 Å
α = 60.00°, β = 60.00°, γ = 60.00°
Fractional positions:
Be 0.250 0.250 0.250
Be 0.750 0.750 0.750
Hf 0.500 0.500 0.500
Rb 0.000 0.000 0.000

***

Below is crystalline RbHfBe at its relaxed geometry, with properties calculated at the PBE-GGA level.

Computed properties:
Space-group type: P-1, No. 2
Calculated total energy (eV/f.u.): -13.00
Total magnetic moment (μB/atom): 0.00

a = 4.089 Å, b = 5.028 Å, c = 11.687 Å
α = 84.08°, β = 88.93°, γ = 66.02°
Fractional positions:
Be 0.543 0.922 0.915
Be 0.457 0.078 0.085
Hf 0.142 0.712 0.028
Hf 0.858 0.288 0.972
Rb 0.183 0.665 0.695
Rb 0.817 0.335 0.305

***

Below is crystalline RbHfBe at its relaxed geometry, with properties calculated at the PBE-GGA level.

Computed properties:
Space-group type: P-1, No. 2
Calculated total energy (eV/f.u.): -13.36
Total magnetic moment (μB/atom): 0.00

a = 3.408 Å, b = 3.787 Å, c = 13.664 Å
α = 90.41°, β = 96.58°, γ = 90.00°
Fractional positions:
Be 0.812 0.754 0.130
Be 0.188 0.246 0.870
Hf 0.717 0.748 0.932
Hf 0.283 0.252 0.068
Rb 0.593 0.742 0.668
Rb 0.407 0.258 0.332

***

Below is crystalline RbHf2Be at its relaxed geometry, with properties calculated at the PBE-GGA level.

Computed properties:
Space-group type: I4_1/amd, No. 141
Calculated total energy (eV/f.u.): -18.66
Total magnetic moment (μB/atom): 0.00

a = 5.799 Å, b = 5.799 Å, c = 9.122 Å
α = 71.47°, β = 71.47°, γ = 90.00°
Fractional positions:
Be 0.500 0.500 0.000
Be 0.250 0.750 0.500
Hf 0.375 0.125 0.250
Hf 0.375 0.625 0.250
Hf 0.375 0.625 0.750
Hf 0.875 0.625 0.750
Rb 0.000 0.000 0.000
Rb 0.750 0.250 0.500

***

Below is crystalline RbHfBe at its relaxed geometry, with properties calculated at the PBE-GGA level.

Computed properties:
Space-group type: P1, No. 1
Calculated total energy (eV/f.u.): -12.94
Total magnetic moment (μB/atom): 0.00

a = 3.685 Å, b = 4.606 Å, c = 12.525 Å
α = 97.00°, β = 98.46°, γ = 90.36°
Fractional positions:
Be 0.005 0.474 0.934
Be 0.524 0.674 0.966
Hf 0.101 0.741 0.122
Hf 0.564 0.225 0.050
Rb 0.360 0.949 0.736
Rb 0.724 0.323 0.368

***

Below is crystalline RbHfBe at its relaxed geometry, with properties calculated at the PBE-GGA level.

Computed properties:
Space-group type: P1, No. 1
Calculated total energy (eV/f.u.): -13.08
Total magnetic moment (μB/atom): 0.06

a = 3.855 Å, b = 3.855 Å, c = 14.118 Å
α = 95.78°, β = 90.71°, γ = 119.98°
Last column: magnetic moment on the atom in μB.
Fractional positions:
Be 0.519 0.726 0.073  0.00
Be 0.851 0.391 0.071  0.00
Hf 0.158 0.013 0.984  0.00
Hf 0.780 0.270 0.836  0.13
Rb 0.246 0.160 0.264  0.00
Rb 0.041 0.811 0.597  0.01

***

Below is crystalline RbHfBe3 at its relaxed geometry, with properties calculated at the PBE-GGA level.

Computed properties:
Space-group type: Pm-3m, No. 221
Calculated total energy (eV/f.u.): -14.76
Total magnetic moment (μB/atom): 0.23

a = 5.147 Å, b = 5.147 Å, c = 5.147 Å
α = 90.00°, β = 90.00°, γ = 90.00°
Last column: magnetic moment on the atom in μB.
Fractional positions:
Be 0.000 0.500 0.000  0.07
Be 0.000 0.000 0.500  0.03
Be 0.500 0.000 0.000  0.09
Hf 0.000 0.000 0.000  0.47
Rb 0.500 0.500 0.500  0.01

***

Below is crystalline RbHfBe at its relaxed geometry, with properties calculated at the PBE-GGA level.

Computed properties:
Space-group type: P1, No. 1
Calculated total energy (eV/f.u.): -13.12
Total magnetic moment (μB/atom): 0.00

a = 3.764 Å, b = 4.595 Å, c = 12.844 Å
α = 84.37°, β = 88.16°, γ = 65.84°
Fractional positions:
Be 0.417 0.293 0.973
Be 0.015 0.080 0.056
Hf 0.713 0.690 0.023
Hf 0.063 0.024 0.871
Rb 0.392 0.276 0.275
Rb 0.774 0.649 0.628

***

Below is crystalline RbHfBe at its relaxed geometry, with properties calculated at the PBE-GGA level.

Computed properties:
Space-group type: P-1, No. 2
Calculated total energy (eV/f.u.): -13.58
Total magnetic moment (μB/atom): 0.00

a = 3.624 Å, b = 3.884 Å, c = 13.542 Å
α = 98.09°, β = 90.37°, γ = 90.00°
Fractional positions:
Be 0.251 0.521 0.044
Be 0.749 0.479 0.956
Hf 0.248 0.957 0.913
Hf 0.752 0.043 0.087
Rb 0.741 0.340 0.671
Rb 0.259 0.660 0.329

***

Below is crystalline RbHfBe at its relaxed geometry, with properties calculated at the PBE-GGA level.

Computed properties:
Space-group type: P2_1/m, No. 11
Calculated total energy (eV/f.u.): -13.36
Total magnetic moment (μB/atom): 0.00

a = 3.409 Å, b = 3.786 Å, c = 13.566 Å
α = 90.00°, β = 90.11°, γ = 90.00°
Fractional positions:
Be 0.251 0.250 0.130
Be 0.749 0.750 0.870
Hf 0.249 0.250 0.932
Hf 0.751 0.750 0.068
Rb 0.246 0.250 0.667
Rb 0.754 0.750 0.333